DFT (PBE) results for a geometry-optimized HgPbNO structure.

Cell lengths 3.8155, 6.4264, 6.1678 Å; angles 90.00, 90.00, 90.00 degrees
With the nearest neighbours (Å) after each atom.
Space group Pmc2_1 (No. 26)
Asymmetric unit:
Hg 0.0000 0.1458 0.0000 (multiplicity 2)  2 N 2.25-2.26, 2 O 2.49
Pb 0.5000 0.3268 0.4844 (multiplicity 2)  2 O 2.24-2.27, 2 N 2.26
N 0.0000 0.1804 0.3629 (multiplicity 2)  2 Hg 2.25-2.26, 2 Pb 2.26
O 0.5000 0.3495 0.8512 (multiplicity 2)  2 Pb 2.24-2.27, 2 Hg 2.49

Properties
As for the calculated total energy: -32.79 eV per cell.